Density functional theory data (PBE with a Hubbard U) for a relaxed structure of NaNiHO2.

Results
The calculation puts the size of the total moment at 0.0 μB/f.u. As for the energy: -4.39 eV/atom.

Lattice parameters (Å, degrees): 5.041 5.041 4.850 90.00 90.00 111.14
Positions (direct):
Na (0.250, 0.750, 0.901)
Na (0.750, 0.250, 0.099)
Ni (0.250, 0.250, 0.500)
Ni (0.750, 0.750, 0.500)
H (0.000, 0.000, 0.000)
H (0.500, 0.500, 0.000)
O (0.015, 0.985, 0.246)
O (0.485, 0.515, 0.246)
O (0.515, 0.485, 0.754)
O (0.985, 0.015, 0.754)